Record 1
{
  "formula": "YBe2Si",
  "functional": "PBE-GGA",
  "state": "optimized geometry",
  "lattice": [[6.261, 0.000, 0.000], [0.000, 6.261, 0.000], [0.000, 0.000, 6.261]],
  "species": ["Y", "Y", "Y", "Y", "Be", "Be", "Be", "Be", "Be", "Be", "Be", "Be", "Si", "Si", "Si", "Si"],
  "frac_coords": [[0.000, 0.000, 0.000], [0.000, 0.500, 0.500], [0.500, 0.000, 0.500], [0.500, 0.500, 0.000], [0.000, 0.000, 0.500], [0.000, 0.500, 0.000], [0.250, 0.250, 0.750], [0.250, 0.750, 0.250], [0.500, 0.000, 0.000], [0.500, 0.500, 0.500], [0.750, 0.250, 0.250], [0.750, 0.750, 0.750], [0.250, 0.250, 0.250], [0.250, 0.750, 0.750], [0.750, 0.250, 0.750], [0.750, 0.750, 0.250]],
  "m_tot_mub_per_atom": 0.000,
  "e_form_raw_mev_per_atom": 246,
  "spacegroup": "F-43m (216)"
}

=====

Record 2
{
  "formula": "Tb3Dy2Er6Th",
  "functional": "PBE-GGA",
  "state": "optimized geometry",
  "lattice": [[3.063, -5.303, 0.000], [3.063, 5.303, 0.000], [-2.044, 0.000, 11.512]],
  "species": ["Tb", "Tb", "Tb", "Dy", "Dy", "Er", "Er", "Er", "Er", "Er", "Er", "Th"],
  "frac_coords": [[0.000, 0.000, 0.000], [0.333, 0.667, 0.000], [0.667, 0.333, 0.000], [0.167, 0.833, 0.500], [0.833, 0.167, 0.500], [0.086, 0.416, 0.251], [0.254, 0.254, 0.749], [0.416, 0.086, 0.251], [0.584, 0.914, 0.749], [0.746, 0.746, 0.251], [0.914, 0.584, 0.749], [0.500, 0.500, 0.500]],
  "m_tot_mub_per_atom": 0.000,
  "spacegroup": "C2/m (12)",
  "formation_energy_mev_per_atom": 22
}

=====

Record 3
{
  "formula": "PmAlGeH",
  "functional": "PBE-GGA",
  "state": "optimized geometry",
  "lattice": [[4.028, 0.000, 0.000], [0.000, 4.028, 0.000], [0.000, 0.000, 8.340]],
  "species": ["Pm", "Pm", "Al", "Al", "Ge", "Ge", "H", "H"],
  "frac_coords": [[0.250, 0.250, 0.159], [0.750, 0.750, 0.841], [0.250, 0.750, 0.500], [0.750, 0.250, 0.500], [0.250, 0.250, 0.708], [0.750, 0.750, 0.292], [0.250, 0.750, 0.000], [0.750, 0.250, 0.000]],
  "m_tot_mub_per_atom": 0.000,
  "spacegroup": "P4/nmm (129)",
  "e_tot_ev_per_atom": -4.624
}

=====

Record 4
{
  "formula": "SrHf2BePb",
  "functional": "PBE-GGA",
  "state": "optimized geometry",
  "lattice": [[5.609, 0.000, 0.000], [0.000, 5.609, 0.000], [0.000, 0.000, 4.603]],
  "species": ["Sr", "Hf", "Hf", "Be", "Pb"],
  "frac_coords": [[0.000, 0.000, 0.000], [0.000, 0.500, 0.500], [0.500, 0.000, 0.500], [0.500, 0.500, 0.000], [0.500, 0.500, 0.500]],
  "m_tot_mub_per_atom": 0.000,
  "spacegroup": "P4/mmm (123)",
  "formation_energy_mev_per_atom": 1108
}

=====

Record 5
{
  "formula": "Te2PtPb",
  "functional": "PBE-GGA",
  "state": "optimized geometry",
  "lattice": [[4.056, 0.000, 0.000], [0.000, 6.694, 0.000], [0.000, 0.000, 8.506]],
  "species": ["Te", "Te", "Te", "Te", "Pt", "Pt", "Pb", "Pb"],
  "frac_coords": [[0.000, 0.000, 0.203], [0.000, 0.000, 0.797], [0.500, 0.500, 0.203], [0.500, 0.500, 0.797], [0.000, 0.500, 0.000], [0.500, 0.000, 0.000], [0.000, 0.500, 0.500], [0.500, 0.000, 0.500]],
  "m_tot_mub_per_atom": 0.000,
  "e_form_raw_mev_per_atom": 55,
  "spacegroup": "Cmmm (65)"
}

=====

Record 6
{
  "formula": "Sr8In4Cu3N5",
  "functional": "PBE-GGA",
  "state": "optimized geometry",
  "lattice": [[-1.928, 6.241, 9.523], [1.928, -6.241, 9.523], [1.928, 6.241, -9.523]],
  "species": ["Sr", "Sr", "Sr", "Sr", "Sr", "Sr", "Sr", "Sr", "In", "In", "In", "In", "Cu", "Cu", "Cu", "N", "N", "N", "N", "N"],
  "frac_coords": [[0.062, 0.211, 0.851], [0.250, 0.402, 0.848], [0.359, 0.211, 0.149], [0.447, 0.598, 0.848], [0.553, 0.402, 0.152], [0.641, 0.789, 0.851], [0.750, 0.598, 0.152], [0.938, 0.789, 0.149], [0.083, 0.583, 0.500], [0.149, 0.000, 0.149], [0.851, 0.000, 0.851], [0.917, 0.417, 0.500], [0.307, 0.807, 0.500], [0.500, 0.000, 0.500], [0.693, 0.193, 0.500], [0.154, 0.805, 0.349], [0.456, 0.805, 0.651], [0.500, 0.500, 0.000], [0.544, 0.195, 0.349], [0.846, 0.195, 0.651]],
  "m_tot_mub_per_atom": 0.000,
  "e_form_raw_mev_per_atom": -503,
  "spacegroup": "Immm (71)"
}

=====

| no. | N(E_F) (states/eV/atom) |
| --- | --- |
| 1 | 0.213 |
| 2 | 1.292 |
| 3 | 0.418 |
| 4 | 1.499 |
| 5 | 0.516 |
| 6 | 0.280 |